## Sr2FeI2O2 (PBE+U)

Data for Sr2FeI2O2 after structural relaxation.

Results
Its space group is I4/mmm, No. 139. As for the total energy: -4.96 eV per atom.

Geometry as CIF:
```
data_Sr2FeI2O2
_chemical_formula_sum 'Sr2 Fe1 I2 O2'
_cell_length_a 10.8099
_cell_length_b 10.8099
_cell_length_c 10.8099
_cell_angle_alpha 157.72
_cell_angle_beta 157.72
_cell_angle_gamma 31.71
_space_group_name_H-M_alt 'P 1'
_space_group_IT_number 1
_space_group_name_Hall 'P 1'
loop_
_atom_site_label
_atom_site_type_symbol
_atom_site_fract_x
_atom_site_fract_y
_atom_site_fract_z
Sr1 Sr 0.0785 0.0785 0.0000
Sr2 Sr 0.9215 0.9215 0.0000
Fe1 Fe 0.5000 0.5000 0.0000
I1 I 0.3412 0.3412 0.0000
I2 I 0.6588 0.6588 0.0000
O1 O 0.0000 0.5000 0.5000
O2 O 0.5000 0.0000 0.5000
```